# 1
Al5Ga3 | PBE | relaxed

Calculated values
Calculated total energy = -3.43 eV/atom
E above lowest polymorph = 0.4 kJ per mole of atoms
Total magnetic moment = 0.0 Bohr magnetons per cell
Energy of formation = 0.358 eV/f.u.

abc: 5.7919 5.7919 4.0955
angles: 90.00 90.00 94.69
Sites, in units of the cell vectors:
1 Al 0.0000 0.0000 0.0000
2 Al 0.0000 0.5000 0.0000
3 Al 0.2545 0.2545 0.5000
4 Al 0.5000 0.0000 0.0000
5 Al 0.7455 0.7455 0.5000
6 Ga 0.2397 0.7603 0.5000
7 Ga 0.5000 0.5000 0.0000
8 Ga 0.7603 0.2397 0.5000

***

# 2
Y2MnW | PBE | relaxed

Calculated values
Calculated total energy = -7.77 eV/atom
E above lowest polymorph = 73.4 kJ per mole of atoms
Total magnetic moment = 6.0 Bohr magnetons per cell
Energy of formation = 3.951 eV/f.u.

abc: 6.2626 6.2626 6.2626
angles: 103.03 103.03 123.31
Sites, in units of the cell vectors:
1 Y 0.1131 0.6250 0.9881
2 Y 0.3750 0.3631 0.4881
3 Y 0.6369 0.1250 0.0119
4 Y 0.8750 0.8869 0.5119
5 Mn 0.0000 0.0000 0.0000
6 Mn 0.7500 0.2500 0.5000
7 W 0.2500 0.7500 0.5000
8 W 0.5000 0.5000 0.0000

***

# 3
Sm2Tm2Hg3 | PBE | relaxed

Calculated values
Calculated total energy = -3.07 eV/atom
Total magnetic moment = 0.0 Bohr magnetons per cell
Energy of formation = -2.204 eV/f.u.

abc: 9.0499 9.0499 9.0499
angles: 33.24 33.24 33.24
Sites, in units of the cell vectors:
1 Sm 0.1270 0.1270 0.1270
2 Sm 0.8730 0.8730 0.8730
3 Tm 0.3766 0.3766 0.3766
4 Tm 0.6234 0.6234 0.6234
5 Hg 0.0000 0.0000 0.0000
6 Hg 0.2516 0.2516 0.2516
7 Hg 0.7484 0.7484 0.7484

***

# 4
TmCuIr | PBE | relaxed

Calculated values
Calculated total energy = -6.35 eV/atom
E above lowest polymorph = 8.3 kJ per mole of atoms
Total magnetic moment = 0.0 Bohr magnetons per cell
Energy of formation = -1.609 eV/f.u.

abc: 7.5253 7.5253 7.5253
angles: 149.79 149.79 43.25
Sites, in units of the cell vectors:
1 Tm 0.1713 0.1713 0.0000
2 Tm 0.8287 0.8287 0.0000
3 Cu 0.0000 0.5000 0.5000
4 Cu 0.5000 0.0000 0.5000
5 Ir 0.3780 0.3780 0.0000
6 Ir 0.6220 0.6220 0.0000

***

# 5
Al2PtPb | PBE | relaxed

Calculated values
Calculated total energy = -4.56 eV/atom
Total magnetic moment = 0.0 Bohr magnetons per cell
Energy of formation = -0.997 eV/f.u.

abc: 3.2702 3.2702 7.4910
angles: 90.00 90.00 90.00
Sites, in units of the cell vectors:
1 Al 0.0000 0.0000 0.0000
2 Al 0.5000 0.5000 0.2223
3 Pt 0.5000 0.5000 0.8546
4 Pb 0.0000 0.0000 0.5475

***

# 6
Pu3Ga2 | PBE | relaxed

Calculated values
Calculated total energy = -9.91 eV/atom
Total magnetic moment = 34.6 Bohr magnetons per cell
Energy of formation = -0.486 eV/f.u.

abc: 5.1532 5.1532 9.3113
angles: 90.00 90.00 106.38
Sites, in units of the cell vectors:
1 Pu 0.0000 0.0000 0.0000
2 Pu 0.1037 0.3963 0.2500
3 Pu 0.3963 0.1037 0.7500
4 Pu 0.5000 0.5000 0.5000
5 Pu 0.6037 0.8963 0.2500
6 Pu 0.8963 0.6037 0.7500
7 Ga 0.1289 0.8711 0.4327
8 Ga 0.3711 0.6289 0.9327
9 Ga 0.6289 0.3711 0.0673
10 Ga 0.8711 0.1289 0.5673

***

> Which formula does entry 3 have?

Sm2Tm2Hg3

***

What did the first record say?
Al5Ga3 | PBE | relaxed

Calculated values
Calculated total energy = -3.43 eV/atom
E above lowest polymorph = 0.4 kJ per mole of atoms
Total magnetic moment = 0.0 Bohr magnetons per cell
Energy of formation = 0.358 eV/f.u.

abc: 5.7919 5.7919 4.0955
angles: 90.00 90.00 94.69
Sites, in units of the cell vectors:
1 Al 0.0000 0.0000 0.0000
2 Al 0.0000 0.5000 0.0000
3 Al 0.2545 0.2545 0.5000
4 Al 0.5000 0.0000 0.0000
5 Al 0.7455 0.7455 0.5000
6 Ga 0.2397 0.7603 0.5000
7 Ga 0.5000 0.5000 0.0000
8 Ga 0.7603 0.2397 0.5000

***

> Look up the total magnetic moment of the fourth one.

0.0 Bohr magnetons per cell

***

> Number 6 is which compound?

Pu3Ga2